[1]
Entry from the Alexandria database: an optimized crystal structure of Sc2CuPtC (GGA-PBE).

Structure (POSCAR):
```
Sc2CuPtC
1.0
-0.980 3.811 2.248
-4.233 -1.476 0.657
1.066 -1.624 3.218
Sc Cu Pt C
2 1 1 1
Direct
0.500 0.000 0.000 Sc
0.000 0.500 0.000 Sc
0.000 0.000 0.500 Cu
0.500 0.500 0.500 Pt
0.000 0.000 0.000 C
```

Energy of formation = -12.97 kcal/mol of atoms
Space-group type = P4/mmm (123)
Fermi-level density of states = 0.441 states/eV/atom

[2]
Entry from the Alexandria database: an optimized crystal structure of La2Y6Ho (GGA-PBE).

Structure (POSCAR):
```
La2Y6Ho
1.0
-3.222 -8.883 -2.171
-3.036 4.239 -8.174
4.927 -1.897 -3.993
Y Ho La
12 2 4
Direct
0.656 0.274 0.003 Y
0.344 0.726 0.997 Y
0.058 0.457 0.231 Y
0.957 0.778 0.309 Y
0.222 0.043 0.191 Y
0.726 0.344 0.497 Y
0.043 0.222 0.691 Y
0.778 0.957 0.809 Y
0.274 0.656 0.503 Y
0.942 0.543 0.769 Y
0.543 0.942 0.269 Y
0.457 0.058 0.731 Y
0.115 0.885 0.750 Ho
0.885 0.115 0.250 Ho
0.614 0.668 0.622 La
0.668 0.614 0.122 La
0.386 0.332 0.378 La
0.332 0.386 0.878 La
```

Energy above the lowest structure with this stoichiometry = 4.7 kJ/mol of atoms
Energy of formation = 2.54 kcal/mol of atoms
Space-group type = C2/c (15)
Fermi-level density of states = 1.405 states/eV/atom

[3]
Entry from the Alexandria database: an optimized crystal structure of NaIn2 (GGA-PBE).

Structure (POSCAR):
```
NaIn2
1.0
3.682 0.000 0.000
0.000 3.682 0.000
-1.841 -1.841 6.056
In Na
2 1
Direct
0.326 0.326 0.653 In
0.674 0.674 0.347 In
0.000 0.000 0.000 Na
```

Energy above the lowest structure with this stoichiometry = 3.4 kJ/mol of atoms
Energy of formation = -2.03 kcal/mol of atoms
Space-group type = I4/mmm (139)
Fermi-level density of states = 0.356 states/eV/atom

[4]
Entry from the Alexandria database: an optimized crystal structure of Zn2SiPbBr (GGA-PBE).

Structure (POSCAR):
```
Zn2SiPbBr
1.0
5.416 0.000 0.000
0.000 5.461 0.000
0.000 0.000 5.416
Br Zn Si Pb
1 2 1 1
Direct
0.500 0.500 0.500 Br
0.000 0.000 0.500 Zn
0.500 0.000 0.000 Zn
0.000 0.500 0.000 Si
0.000 0.000 0.000 Pb
```

Energy relative to the elements, uncorrected = 0.65 eV per atom
Space-group type = P4/mmm (123)
Fermi-level density of states = 0.610 states/eV/atom

[5]
Entry from the Alexandria database: an optimized crystal structure of TcHg2Pt (GGA-PBE).

Structure (POSCAR):
```
TcHg2Pt
1.0
-4.007 1.273 2.660
-3.620 0.457 -3.382
3.111 -3.816 0.715
Pt Hg Tc
1 2 1
Direct
0.500 0.500 0.000 Pt
0.250 0.750 0.500 Hg
0.000 0.000 0.000 Hg
0.750 0.250 0.500 Tc
```

Energy above the lowest structure with this stoichiometry = 27.2 kJ/mol of atoms
Energy of formation = 11.21 kcal/mol of atoms
Space-group type = I-4m2 (119)
Fermi-level density of states = 0.416 states/eV/atom

[6]
Entry from the Alexandria database: an optimized crystal structure of KMnCl3 (GGA-PBE).

Structure (POSCAR):
```
KMnCl3
1.0
14.961 0.000 0.051
6.143 6.916 -2.827
-6.143 6.916 2.827
Mn Cl K
4 12 4
Direct
0.750 0.180 0.680 Mn
0.250 0.464 0.964 Mn
0.250 0.820 0.320 Mn
0.750 0.536 0.036 Mn
0.873 0.384 0.389 Cl
0.948 0.991 0.112 Cl
0.460 0.663 0.758 Cl
0.127 0.616 0.611 Cl
0.552 0.612 0.491 Cl
0.052 0.009 0.888 Cl
0.040 0.258 0.163 Cl
0.540 0.337 0.242 Cl
0.960 0.742 0.837 Cl
0.627 0.889 0.884 Cl
0.373 0.111 0.116 Cl
0.448 0.388 0.509 Cl
0.139 0.471 0.322 K
0.361 0.822 0.971 K
0.861 0.529 0.678 K
0.639 0.178 0.029 K
```

Energy relative to the elements, uncorrected = -1.44 eV per atom
Space-group type = C2/c (15)
Fermi-level density of states = 0.000 states/eV/atom

[7]
Entry from the Alexandria database: an optimized crystal structure of SmZnPtO4 (GGA-PBE).

Structure (POSCAR):
```
SmZnPtO4
1.0
-1.376 6.266 0.220
1.140 -2.836 -5.726
-5.735 -1.399 3.971
O Sm Zn Pt
8 2 2 2
Direct
0.232 0.464 0.670 O
0.768 0.536 0.330 O
0.768 0.536 0.706 O
0.764 0.075 0.788 O
0.689 0.925 0.212 O
0.311 0.075 0.788 O
0.236 0.925 0.212 O
0.232 0.464 0.294 O
0.500 0.000 0.000 Sm
0.500 0.000 0.500 Sm
0.898 0.796 0.148 Zn
0.102 0.204 0.852 Zn
0.500 0.500 0.500 Pt
0.000 0.500 0.500 Pt
```

Energy relative to the elements, uncorrected = -1.57 eV per atom
Space-group type = Imma (74)
Fermi-level density of states = 0.210 states/eV/atom

[8]
Entry from the Alexandria database: an optimized crystal structure of Na4Dy3US8 (GGA-PBE).

Structure (POSCAR):
```
Na4Dy3US8
1.0
-6.740 -4.133 -1.059
1.269 -0.013 -8.026
5.668 -2.793 4.869
Dy Na S U
3 4 8 1
Direct
0.500 0.500 0.000 Dy
0.500 0.500 0.500 Dy
0.000 0.500 0.500 Dy
0.500 0.000 0.500 Na
0.500 0.000 0.000 Na
0.000 0.000 0.500 Na
0.000 0.000 0.000 Na
0.258 0.272 0.015 S
0.757 0.272 0.015 S
0.757 0.272 0.514 S
0.243 0.728 0.985 S
0.742 0.728 0.985 S
0.742 0.727 0.485 S
0.243 0.728 0.486 S
0.258 0.273 0.515 S
0.000 0.500 0.000 U
```

Energy relative to the elements, uncorrected = -1.71 eV per atom
Space-group type = R-3m (166)
Fermi-level density of states = 0.496 states/eV/atom

[9]
Entry from the Alexandria database: an optimized crystal structure of BaBe2Co (GGA-PBE).

Structure (POSCAR):
```
BaBe2Co
1.0
2.979 0.000 0.000
0.000 2.979 0.000
0.000 0.000 7.233
Co Be Ba
1 2 1
Direct
0.500 0.500 0.250 Co
0.000 0.000 0.108 Be
0.000 0.000 0.392 Be
0.500 0.500 0.750 Ba
```

Energy above the lowest structure with this stoichiometry = 26.4 kJ/mol of atoms
Energy of formation = 9.26 kcal/mol of atoms
Space-group type = P4/mmm (123)
Fermi-level density of states = 0.495 states/eV/atom

[10]
Entry from the Alexandria database: an optimized crystal structure of KNaC2 (GGA-PBE).

Structure (POSCAR):
```
KNaC2
1.0
2.234 -3.983 0.327
-1.913 -3.522 2.212
-1.470 -3.648 -2.343
C K Na
2 1 1
Direct
0.250 0.250 0.250 C
0.750 0.750 0.750 C
0.500 0.500 0.500 K
0.000 0.000 0.000 Na
```

Energy above the lowest structure with this stoichiometry = 53.2 kJ/mol of atoms
Energy of formation = 56.48 kcal/mol of atoms
Space-group type = Fm-3m (225)
Fermi-level density of states = 0.158 states/eV/atom

[11]
Entry from the Alexandria database: an optimized crystal structure of Pr2DyPuSe4 (GGA-PBE).

Structure (POSCAR):
```
Pr2DyPuSe4
1.0
4.157 0.000 0.000
0.000 7.235 0.141
0.000 -2.514 6.854
Se Pr Pu Dy
4 2 1 1
Direct
0.000 0.252 0.763 Se
0.500 0.757 0.765 Se
0.000 0.748 0.237 Se
0.500 0.243 0.235 Se
0.000 0.500 0.500 Pr
0.500 0.000 0.500 Pr
0.500 0.500 0.000 Pu
0.000 0.000 0.000 Dy
```

Energy relative to the elements, uncorrected = -1.76 eV per atom
Space-group type = P2/m (10)
Fermi-level density of states = 1.220 states/eV/atom

[12]
Entry from the Alexandria database: an optimized crystal structure of DyU2Tl2S6 (GGA-PBE).

Structure (POSCAR):
```
DyU2Tl2S6
1.0
6.946 -0.028 0.078
-3.457 6.024 0.078
-1.226 -2.107 7.544
U S Tl Dy
2 6 2 1
Direct
0.334 0.666 0.500 U
0.666 0.334 0.500 U
0.729 0.729 0.694 S
0.939 0.601 0.307 S
0.061 0.399 0.693 S
0.271 0.271 0.306 S
0.399 0.061 0.693 S
0.601 0.939 0.307 S
0.165 0.835 0.000 Tl
0.835 0.165 0.000 Tl
0.000 0.000 0.500 Dy
```

Energy relative to the elements, uncorrected = -1.30 eV per atom
Space-group type = C2/m (12)
Fermi-level density of states = 0.937 states/eV/atom

no.,magnetic moment (μB per atom)
1,0.000
2,0.000
3,0.000
4,0.000
5,0.631
6,1.000
7,0.136
8,0.188
9,0.083
10,0.000
11,0.725
12,0.455